# 1
Entry from Alexandria: Rb2ZnSi2Se6 after structural relaxation (PBE).

a b c (Å): 7.2833 7.2833 8.8078
angles (deg): 65.58 65.58 60.00
Sites, in units of the cell vectors:
Se 0.2392 0.7619 0.7597
Se 0.2381 0.7608 0.2403
Se 0.7608 0.7608 0.2403
Si 0.4062 0.4062 0.7813
Se 0.2392 0.2392 0.7597
Zn 0.0000 0.0000 0.0000
Se 0.7608 0.2381 0.2403
Si 0.5938 0.5938 0.2187
Rb 0.2238 0.2238 0.3287
Rb 0.7762 0.7762 0.6713
Se 0.7619 0.2392 0.7597

Values from the calculation:
As for the density of states at the Fermi level: 2.0 states/eV per cell. For the total energy, the calculation gives -3.726 eV/atom. As for the total magnetization: 0.000 μB per formula unit.

# 2
Entry from Alexandria: Rb2ZnSiSe4 after structural relaxation (PBE).

a b c (Å): 6.0872 7.6714 12.8223
angles (deg): 84.60 76.27 66.63
Sites, in units of the cell vectors:
Rb 0.1813 0.0000 0.6375
Si 0.5000 0.0000 0.0000
Se 0.5805 0.1880 0.1037
Zn 0.0000 0.0000 0.0000
Se 0.8778 0.6880 0.6037
Rb 0.9313 0.5000 0.1375
Se 0.4342 0.6880 0.3963
Si 0.2500 0.5000 0.5000
Se 0.3158 0.8120 0.1037
Se 0.2315 0.1880 0.8963
Se 0.1695 0.3120 0.3963
Se 0.8722 0.8120 0.8963
Zn 0.7500 0.5000 0.5000
Rb 0.8187 0.0000 0.3625
Rb 0.5687 0.5000 0.8625
Se 0.5185 0.3120 0.6037

Values from the calculation:
As for the density of states at the Fermi level: 0.0 states/eV per cell. For the total energy, the calculation gives -3.721 eV/atom. As for the total magnetization: 0.000 μB per formula unit.

# 3
Entry from Alexandria: RbSmSe4 after structural relaxation (PBE).

a b c (Å): 6.3679 6.3679 8.7603
angles (deg): 90.00 90.00 90.00
Sites, in units of the cell vectors:
Se 0.6351 0.8649 0.2018
Rb 0.0000 0.0000 0.5000
Se 0.1351 0.3649 0.7982
Se 0.8649 0.3649 0.2018
Se 0.3649 0.8649 0.7982
Se 0.6351 0.1351 0.7982
Se 0.8649 0.6351 0.7982
Se 0.3649 0.1351 0.2018
Se 0.1351 0.6351 0.2018
Rb 0.5000 0.5000 0.5000
Sm 0.0000 0.0000 0.0000
Sm 0.5000 0.5000 0.0000

Values from the calculation:
For the total energy, the calculation gives -4.440 eV/atom. As for the total magnetization: 0.000 μB per formula unit.

# 4
Entry from Alexandria: RbSm2Se after structural relaxation (PBE).

a b c (Å): 4.0249 4.0249 11.5362
angles (deg): 79.95 79.95 60.00
Last column: magnetic moment on the atom in μB.
Sites, in units of the cell vectors:
Sm 0.8833 0.8833 0.3500  0.07
Rb 0.0000 0.0000 0.0000  0.01
Se 0.5000 0.5000 0.5000  0.00
Sm 0.1167 0.1167 0.6500  0.07

Values from the calculation:
As for the density of states at the Fermi level: 4.6 states/eV per cell. For the total energy, the calculation gives -4.055 eV/atom. As for the total magnetization: 0.574 μB per formula unit.

# 5
Entry from Alexandria: RbSm2Se3 after structural relaxation (PBE).

a b c (Å): 4.2454 4.2454 22.9912
angles (deg): 90.00 90.00 120.00
Sites, in units of the cell vectors:
Sm 0.3333 0.6667 0.5748
Sm 0.6667 0.3333 0.0748
Sm 0.6667 0.3333 0.4252
Rb 0.0000 0.0000 0.7500
Se 0.3333 0.6667 0.1449
Se 0.6667 0.3333 0.6449
Se 0.0000 0.0000 0.5000
Se 0.6667 0.3333 0.8551
Se 0.3333 0.6667 0.3551
Sm 0.3333 0.6667 0.9252
Se 0.0000 0.0000 0.0000
Rb 0.0000 0.0000 0.2500

Values from the calculation:
As for the density of states at the Fermi level: 3.8 states/eV per cell. For the total energy, the calculation gives -5.237 eV/atom. As for the total magnetization: 0.000 μB per formula unit.

# 6
Entry from Alexandria: RbSm3Se4 after structural relaxation (PBE).

a b c (Å): 4.2452 4.2452 29.5846
angles (deg): 90.00 90.00 120.00
Sites, in units of the cell vectors:
Sm 0.6667 0.3333 0.1136
Se 0.0000 0.0000 0.6681
Se 0.0000 0.0000 0.3319
Se 0.6667 0.3333 0.9431
Rb 0.3333 0.6667 0.2500
Sm 0.6667 0.3333 0.3864
Se 0.3333 0.6667 0.0569
Se 0.0000 0.0000 0.1681
Se 0.0000 0.0000 0.8319
Sm 0.3333 0.6667 0.8864
Sm 0.3333 0.6667 0.6136
Sm 0.0000 0.0000 0.0000
Se 0.6667 0.3333 0.5569
Se 0.3333 0.6667 0.4431
Sm 0.0000 0.0000 0.5000
Rb 0.6667 0.3333 0.7500

Values from the calculation:
As for the density of states at the Fermi level: 6.6 states/eV per cell. For the total energy, the calculation gives -5.404 eV/atom. As for the total magnetization: 0.000 μB per formula unit.

# 7
Entry from Alexandria: RbSm6Se8 after structural relaxation (PBE).

a b c (Å): 4.2572 11.2997 11.2997
angles (deg): 120.00 90.00 90.00
Last column: magnetic moment on the atom in μB.
Sites, in units of the cell vectors:
Se 0.7493 0.6667 0.3333  0.00
Se 0.7489 0.6413 0.9542  0.00
Sm 0.2494 0.4807 0.3425  0.07
Se 0.2511 0.3587 0.0458  0.00
Se 0.2511 0.6871 0.6413  0.00
Se 0.7489 0.0458 0.6871  0.00
Se 0.7489 0.3129 0.3587  0.00
Sm 0.2494 0.8618 0.5193  0.07
Se 0.2511 0.9542 0.3129  0.00
Sm 0.7506 0.5193 0.6575  0.07
Se 0.2507 0.3333 0.6667  0.00
Sm 0.7506 0.3425 0.8618  0.07
Rb 0.5000 0.0000 0.0000  0.00
Sm 0.2494 0.6575 0.1382  0.07
Sm 0.7506 0.1382 0.4807  0.07

Values from the calculation:
As for the density of states at the Fermi level: 11.3 states/eV per cell. For the total energy, the calculation gives -5.549 eV/atom. As for the total magnetization: 0.831 μB per formula unit.

# 8
Entry from Alexandria: Rb2SmSnSe4 after structural relaxation (PBE).

a b c (Å): 8.9610 8.9610 8.8782
angles (deg): 119.69 119.69 89.99
Sites, in units of the cell vectors:
Sm 0.0000 0.5000 0.0000
Sn 0.0000 0.0000 0.0000
Se 0.2004 0.7352 0.9678
Se 0.7996 0.2648 0.0322
Sm 0.0000 0.5000 0.5000
Se 0.2341 0.2659 0.0364
Rb 0.5000 0.5000 0.0000
Rb 0.0000 0.0000 0.5000
Se 0.2352 0.7004 0.4678
Sn 0.5000 0.5000 0.5000
Rb 0.5000 0.0000 0.0000
Se 0.7648 0.2996 0.5322
Se 0.7659 0.7341 0.9636
Rb 0.5000 0.0000 0.5000
Se 0.2341 0.2659 0.4636
Se 0.7659 0.7341 0.5364

Values from the calculation:
As for the density of states at the Fermi level: 6.6 states/eV per cell. For the total energy, the calculation gives -4.242 eV/atom. As for the total magnetization: 0.000 μB per formula unit.

# 9
Entry from Alexandria: Rb2SmSnSe5 after structural relaxation (PBE).

a b c (Å): 4.1059 10.7097 15.1790
angles (deg): 90.00 90.00 101.05
Last column: magnetic moment on the atom in μB.
Sites, in units of the cell vectors:
Sm 0.7943 0.5886 0.5307  -0.01
Se 0.9502 0.9004 0.5290  0.01
Rb 0.8683 0.7365 0.1897  0.00
Rb 0.1317 0.2635 0.6897  0.00
Rb 0.1333 0.2665 0.3231  0.00
Sn 0.5629 0.1259 0.9202  0.00
Se 0.6951 0.3901 0.1577  0.09
Se 0.3049 0.6099 0.6577  0.09
Se 0.0498 0.0996 0.0290  0.01
Sm 0.2057 0.4114 0.0307  -0.01
Se 0.5021 0.0043 0.7797  0.03
Se 0.4979 0.9957 0.2797  0.03
Sn 0.4371 0.8741 0.4202  0.00
Se 0.3383 0.6767 0.0083  0.21
Se 0.3174 0.6347 0.3857  0.01
Rb 0.8667 0.7335 0.8231  0.00
Se 0.6617 0.3233 0.5083  0.21
Se 0.6826 0.3653 0.8857  0.01

Values from the calculation:
As for the density of states at the Fermi level: 14.1 states/eV per cell. For the total energy, the calculation gives -4.120 eV/atom. As for the total magnetization: 0.586 μB per formula unit.

# 10
Entry from Alexandria: Rb3Sm2SnSe6 after structural relaxation (PBE).

a b c (Å): 7.4775 7.4775 8.3778
angles (deg): 98.55 98.55 120.00
Sites, in units of the cell vectors:
Rb 0.1665 0.8335 0.5000
Sn 0.0000 0.0000 0.0000
Rb 0.5000 0.5000 0.5000
Se 0.3959 0.0657 0.1972
Rb 0.8335 0.1665 0.5000
Se 0.7356 0.7356 0.1973
Se 0.2644 0.2644 0.8027
Se 0.0657 0.3959 0.1972
Sm 0.6667 0.3333 0.0000
Se 0.6041 0.9343 0.8028
Sm 0.3333 0.6667 0.0000
Se 0.9343 0.6041 0.8028

Values from the calculation:
As for the density of states at the Fermi level: 5.2 states/eV per cell. For the total energy, the calculation gives -4.482 eV/atom. As for the total magnetization: 0.000 μB per formula unit.

# 11
Entry from Alexandria: Rb3Sm3SnSe8 after structural relaxation (PBE).

a b c (Å): 8.4757 8.4764 9.5508
angles (deg): 116.36 90.00 120.00
Sites, in units of the cell vectors:
Se 0.2675 0.5350 0.3026
Se 0.7784 0.5567 0.3087
Rb 0.5000 0.5000 0.0000
Rb 0.0000 0.0000 0.0000
Sm 0.5000 0.5000 0.5000
Se 0.2519 0.0303 0.3087
Sn 0.0000 0.0000 0.5000
Se 0.7481 0.9697 0.6913
Se 0.2216 0.9697 0.6913
Se 0.2216 0.4433 0.6913
Sm 0.5000 0.0000 0.5000
Rb 0.0000 0.5000 0.0000
Se 0.7784 0.0303 0.3087
Sm 0.0000 0.5000 0.5000
Se 0.7325 0.4650 0.6974

Values from the calculation:
As for the density of states at the Fermi level: 1.3 states/eV per cell. For the total energy, the calculation gives -4.697 eV/atom. As for the total magnetization: 0.000 μB per formula unit.

# 12
Entry from Alexandria: RbSm2Sn3Se6 after structural relaxation (PBE).

a b c (Å): 4.1798 9.4087 9.6344
angles (deg): 98.85 102.53 90.00
Sites, in units of the cell vectors:
Sm 0.8292 0.6607 0.6583
Sm 0.1708 0.3393 0.3417
Se 0.3339 0.4362 0.6677
Se 0.9805 0.7153 0.9610
Rb 0.5000 0.0000 0.0000
Se 0.6661 0.5638 0.3323
Se 0.6878 0.1257 0.3756
Se 0.3122 0.8743 0.6244
Se 0.0195 0.2847 0.0390
Sn 0.1645 0.8272 0.3290
Sn 0.5000 0.5000 0.0000
Sn 0.8355 0.1728 0.6710

Values from the calculation:
As for the density of states at the Fermi level: 4.2 states/eV per cell. For the total energy, the calculation gives -4.620 eV/atom. As for the total magnetization: 0.000 μB per formula unit.